MoIF3: relaxed, PBE+U.

POSCAR file:
```
MoIF3
1.0
4.3852 0.0000 0.0000
0.0000 4.3852 0.0000
0.0000 0.0000 4.3852
I Mo F
1 1 3
direct
0.5000 0.5000 0.5000 I
0.0000 0.0000 0.0000 Mo
0.0000 0.5000 0.0000 F
0.0000 0.0000 0.5000 F
0.5000 0.0000 0.0000 F
```

Results
DOS(E_F) in states/eV per atom: 0.9740
Electronic total energy in eV/atom: -4.41
Space group: Pm-3m (221)
Relative energy among the computed polymorphs in eV/atom: 0.000